Entry 1:
Pm6Co2Pb3 after structural relaxation, computed with PBE-GGA.

- symmetry = I4/mmm
- calculated total energy (eV/atom) = -5.073

Unit cell a=4.9455 b=4.9455 c=14.0686 alpha=100.12 beta=100.12 gamma=90.00
Positions (direct):
Pm 0.0808 0.5808 0.1616
Pm 0.5808 0.0808 0.1616
Pm 0.9192 0.4192 0.8384
Pm 0.4192 0.9192 0.8384
Pm 0.7092 0.7092 0.4184
Pm 0.2908 0.2908 0.5816
Co 0.3844 0.3844 0.7689
Co 0.6156 0.6156 0.2311
Pb 0.0000 0.0000 0.0000
Pb 0.8288 0.8288 0.6575
Pb 0.1712 0.1712 0.3425

***

Entry 2:
Rb2NbNiI6 after structural relaxation, computed with PBE-GGA.

- symmetry = I4/mmm
- ΔE_f (raw) (meV/atom) = -592

Unit cell a=7.9822 b=7.9822 c=8.1150 alpha=60.54 beta=60.54 gamma=90.00
Site moments in Bohr magnetons follow the coordinates.
Positions (direct):
I 0.2475 0.2475 0.5051  -0.02
I 0.7525 0.7525 0.4949  -0.02
I 0.2550 0.2550 0.0000  0.00
I 0.7450 0.7450 0.0000  0.00
I 0.7450 0.2550 0.0000  0.00
I 0.2550 0.7450 0.0000  0.00
Ni 0.5000 0.5000 0.0000  0.00
Nb 0.0000 0.0000 0.0000  1.53
Rb 0.7500 0.2500 0.5000  0.00
Rb 0.2500 0.7500 0.5000  0.00

***

Entry 3:
Cs3RbHg3 after structural relaxation, computed with PBE-GGA.

- energy above the most stable polymorph in this dataset (meV per atom) = 0
- symmetry = R3m

Unit cell a=8.0222 b=8.0222 c=8.0222 alpha=109.50 beta=109.50 gamma=109.50
Positions (direct):
Cs 0.5408 0.5408 0.1068
Cs 0.5408 0.1068 0.5408
Cs 0.1068 0.5408 0.5408
Rb 0.9764 0.9764 0.9764
Hg 0.5494 0.0426 0.0426
Hg 0.0426 0.0426 0.5494
Hg 0.0426 0.5494 0.0426

***

Entry 4:
VGeS2 after structural relaxation, computed with PBE-GGA.

- symmetry = R-3m
- ΔE_f (raw) (meV/atom) = -562

Unit cell a=8.5546 b=8.5546 c=8.5546 alpha=21.18 beta=21.18 gamma=21.18
Positions (direct):
Ge 0.0000 0.0000 0.0000
S 0.8925 0.8925 0.8925
S 0.1075 0.1075 0.1075
V 0.5000 0.5000 0.5000

***

Entry 5:
RbGeAsO6 after structural relaxation, computed with PBE-GGA.

- symmetry = P312
- ΔE_f (raw) (meV/atom) = -1107

Unit cell a=4.9981 b=4.9981 c=6.5469 alpha=90.00 beta=90.00 gamma=60.00
Site moments in Bohr magnetons follow the coordinates.
Positions (direct):
Rb 0.0000 0.0000 0.0000  0.00
Ge 0.3333 0.3334 0.5000  -0.02
As 0.6666 0.6667 0.5000  -0.03
O 0.9892 0.3777 0.3403  0.28
O 0.3776 0.9893 0.6597  0.28
O 0.6330 0.3778 0.6597  0.28
O 0.9892 0.6331 0.6597  0.28
O 0.3777 0.6330 0.3403  0.28
O 0.6331 0.9892 0.3403  0.28

***

Entry 6:
YHo2Cu after structural relaxation, computed with PBE-GGA.

- energy above the most stable polymorph in this dataset (meV per atom) = 0
- symmetry = Pnma

Unit cell a=6.4490 b=6.8300 c=9.7048 alpha=90.00 beta=90.00 gamma=90.00
Positions (direct):
Y 0.6321 0.5178 0.2500
Y 0.8679 0.0178 0.2500
Y 0.3679 0.4822 0.7500
Y 0.1321 0.9822 0.7500
Ho 0.1846 0.6894 0.0599
Ho 0.3154 0.1894 0.4401
Ho 0.8154 0.3106 0.5599
Ho 0.6846 0.8106 0.9401
Ho 0.8154 0.3106 0.9401
Ho 0.6846 0.8106 0.5599
Ho 0.1846 0.6894 0.4401
Ho 0.3154 0.1894 0.0599
Cu 0.0570 0.4037 0.2500
Cu 0.4430 0.9037 0.2500
Cu 0.9430 0.5963 0.7500
Cu 0.5570 0.0963 0.7500

***

Entry 7:
Rb3OF after structural relaxation, computed with PBE-GGA.

- energy above the most stable polymorph in this dataset (meV per atom) = 0
- symmetry = C2/c
- ΔE_f (raw) (meV/atom) = -1590

Unit cell a=7.4282 b=9.2000 c=9.2000 alpha=84.76 beta=85.17 gamma=85.17
Site moments in Bohr magnetons follow the coordinates.
Positions (direct):
Rb 0.6333 0.8099 0.9404  0.00
Rb 0.8667 0.0596 0.1901  0.00
Rb 0.3667 0.1901 0.0596  0.00
Rb 0.1333 0.9404 0.8099  0.00
Rb 0.9315 0.3595 0.8903  0.00
Rb 0.5685 0.1097 0.6405  0.00
Rb 0.0685 0.6405 0.1097  0.00
Rb 0.4315 0.8903 0.3595  0.00
Rb 0.7930 0.7134 0.5759  0.00
Rb 0.7070 0.4241 0.2866  0.00
Rb 0.2070 0.2866 0.4241  0.00
Rb 0.2930 0.5759 0.7134  0.00
O 0.9650 0.6669 0.8261  0.08
O 0.5350 0.1739 0.3331  0.08
O 0.0350 0.3331 0.1739  0.08
O 0.4650 0.8261 0.6669  0.08
F 0.2500 0.9034 0.0966  0.00
F 0.7500 0.0966 0.9034  0.00
F 0.2500 0.2623 0.7377  0.00
F 0.7500 0.7377 0.2623  0.00

***

Entry 8:
ErPd2Pt after structural relaxation, computed with PBE-GGA.

- energy above the most stable polymorph in this dataset (meV per atom) = 0
- symmetry = P4/mmm

Unit cell a=4.0835 b=4.1107 c=4.1107 alpha=90.00 beta=90.00 gamma=90.00
Positions (direct):
Pd 0.0000 0.0000 0.5000
Pd 0.0000 0.5000 0.0000
Pt 0.5000 0.0000 0.0000
Er 0.5000 0.5000 0.5000